CrCu2Re: PBEsol geometry, SCAN.

a = 2.5431 Å, b = 4.4065 Å, c = 4.4065 Å
α = 90.00°, β = 90.00°, γ = 90.00°
Closest atoms and distances in Å follow each position.
Atoms (fractional coordinates):
Cr  0.5000  0.0000  0.0000  2 Cr 2.54, 8 Cu 2.54
Cu  0.0000  0.0000  0.5000  2 Cu 2.54, 4 Cr 2.54, 4 Re 2.54
Cu  0.0000  0.5000  0.0000  2 Cu 2.54, 4 Re 2.54, 4 Cr 2.54
Re  0.5000  0.5000  0.5000  2 Re 2.54, 8 Cu 2.54

Values from the calculation:
The energy of formation comes out at 446 meV per atom. The value obtained for the mass density is 12.284 g/cm3. The symmetry is P4/mmm. The energy above the lowest structure with this stoichiometry is 0.193 eV per atom.